(1)
The following is a SCAN calculation of a crystal of CdH2O2 relaxed with PBEsol, from Alexandria via LeMat-Bulk.

Geometry as POSCAR:
```
CdH2O2
1.0
3.5120 0.0000 0.0000
-1.7560 3.0415 0.0000
0.0000 0.0000 4.5599
Cd H O
1 2 2
direct
0.0000 0.0000 0.0000
0.3333 0.6667 0.4570
0.6667 0.3333 0.5430
0.3333 0.6667 0.2419
0.6667 0.3333 0.7581
```

Computed properties:
E above lowest polymorph, eV per formula unit: 0.022
E, eV per atom: -11.10

(2)
The following is a SCAN calculation of a crystal of CdPHO2 relaxed with PBEsol, from Alexandria via LeMat-Bulk.

Geometry as POSCAR:
```
CdPHO2
1.0
3.9886 0.0000 0.0000
0.0000 3.9886 0.0000
0.0000 0.0000 5.3403
Cd P H O
1 1 1 2
direct
0.0000 0.0000 0.0000
0.0000 0.0000 0.5000
0.5000 0.5000 0.5000
0.0000 0.5000 0.0000
0.5000 0.0000 0.0000
```

Computed properties:
E, eV per atom: -10.19

(3)
The following is a SCAN calculation of a crystal of CdP2H6O7 relaxed with PBEsol, from Alexandria via LeMat-Bulk.

Geometry as POSCAR:
```
CdP2H6O7
1.0
6.7089 0.0000 0.0000
-0.5083 7.4083 0.0000
-2.7910 -3.3089 6.5723
Cd P H O
2 4 12 14
direct
0.0696 0.2634 0.3674
0.9304 0.7366 0.6326
0.1910 0.2489 0.8425
0.3830 0.7424 0.5256
0.6170 0.2576 0.4744
0.8090 0.7511 0.1575
0.1266 0.8335 0.0580
0.1408 0.4337 0.9380
0.3115 0.7655 0.9712
0.3524 0.9410 0.5880
0.3992 0.2476 0.1355
0.4681 0.3006 0.6940
0.5319 0.6994 0.3060
0.6008 0.7524 0.8645
0.6476 0.0590 0.4120
0.6885 0.2345 0.0288
0.8592 0.5663 0.0620
0.8734 0.1665 0.9420
0.0008 0.9201 0.2198
0.1524 0.7559 0.9340
0.1871 0.6140 0.5154
0.2481 0.2490 0.6706
0.3773 0.6702 0.3088
0.3926 0.2503 0.3216
0.4114 0.2446 0.0045
0.5886 0.7554 0.9955
0.6073 0.7497 0.6784
0.6227 0.3298 0.6912
0.7519 0.7510 0.3294
0.8129 0.3860 0.4846
0.8476 0.2441 0.0660
0.9992 0.0799 0.7802
```

Computed properties:
E, eV per atom: -8.69

(4)
The following is a SCAN calculation of a crystal of CdH2S2O8 relaxed with PBEsol, from Alexandria via LeMat-Bulk.

Geometry as POSCAR:
```
CdH2S2O8
1.0
5.2916 0.0000 0.0000
0.0000 12.8260 0.0000
-0.5655 0.0000 8.8170
Cd H S O
4 8 8 32
direct
0.2103 0.0443 0.2509
0.2103 0.4557 0.7509
0.7897 0.5443 0.2491
0.7897 0.9557 0.7491
0.0558 0.2322 0.8215
0.0558 0.2678 0.3215
0.4496 0.7192 0.4488
0.4496 0.7808 0.9488
0.5504 0.2192 0.0512
0.5504 0.2808 0.5512
0.9442 0.7322 0.6785
0.9442 0.7678 0.1785
0.2677 0.6480 0.0510
0.2677 0.8520 0.5510
0.2925 0.0935 0.8755
0.2925 0.4065 0.3755
0.7075 0.5935 0.6245
0.7075 0.9065 0.1245
0.7323 0.1480 0.4490
0.7323 0.3520 0.9490
0.0269 0.6686 0.1258
0.0269 0.8314 0.6258
0.1320 0.1661 0.7698
0.1320 0.3339 0.2698
0.1637 0.5080 0.3719
0.1637 0.9920 0.8719
0.2454 0.5485 0.9734
0.2454 0.9515 0.4734
0.2861 0.7377 0.9353
0.2861 0.7623 0.4353
0.3088 0.1402 0.0304
0.3088 0.3598 0.5304
0.4556 0.5876 0.6827
0.4556 0.9124 0.1827
0.4884 0.6559 0.1586
0.4884 0.8441 0.6586
0.5115 0.1559 0.3414
0.5115 0.3441 0.8414
0.5444 0.0876 0.8173
0.5444 0.4124 0.3173
0.6912 0.6402 0.4696
0.6912 0.8598 0.9696
0.7139 0.2377 0.5647
0.7139 0.2623 0.0647
0.7546 0.0485 0.5266
0.7546 0.4515 0.0266
0.8363 0.0080 0.1281
0.8363 0.4920 0.6281
0.8680 0.6661 0.7302
0.8680 0.8339 0.2302
0.9731 0.1686 0.3742
0.9731 0.3314 0.8742
```

Computed properties:
E, eV per atom: -9.61

(5)
The following is a SCAN calculation of a crystal of CdH4S2O5 relaxed with PBEsol, from Alexandria via LeMat-Bulk.

Geometry as POSCAR:
```
CdH4S2O5
1.0
5.5775 0.0000 0.0000
0.0000 7.1423 0.0000
-2.5639 0.0000 13.9566
Cd H S O
4 16 8 20
direct
0.1291 0.1468 0.1816
0.1291 0.3532 0.6816
0.8709 0.6468 0.3184
0.8709 0.8532 0.8184
0.1964 0.6358 0.4994
0.1964 0.8642 0.9994
0.2686 0.1369 0.9935
0.2686 0.3631 0.4935
0.3493 0.1582 0.5470
0.3493 0.3418 0.0470
0.3766 0.6299 0.4249
0.3766 0.8701 0.9249
0.6234 0.1299 0.0751
0.6234 0.3701 0.5751
0.6507 0.6582 0.9530
0.6507 0.8418 0.4530
0.7314 0.6369 0.5065
0.7314 0.8631 0.0065
0.8036 0.1358 0.0006
0.8036 0.3642 0.5006
0.0115 0.9999 0.3300
0.0115 0.5001 0.8300
0.2954 0.6542 0.1572
0.2954 0.8458 0.6572
0.7046 0.1542 0.3428
0.7046 0.3458 0.8428
0.9885 0.0001 0.6700
0.9885 0.4999 0.1700
0.1999 0.6611 0.6192
0.1999 0.8389 0.1192
0.2129 0.5819 0.4356
0.2129 0.9181 0.9356
0.3332 0.2031 0.0550
0.3332 0.2969 0.5550
0.4124 0.5581 0.0867
0.4124 0.9419 0.5867
0.4492 0.6746 0.2523
0.4492 0.8254 0.7523
0.5508 0.1746 0.2477
0.5508 0.3254 0.7477
0.5876 0.0581 0.4133
0.5876 0.4419 0.9133
0.6668 0.7031 0.4450
0.6668 0.7969 0.9450
0.7871 0.0819 0.0644
0.7871 0.4181 0.5644
0.8001 0.1611 0.8808
0.8001 0.3389 0.3808
```

Computed properties:
E, eV per atom: -9.02

(6)
The following is a SCAN calculation of a crystal of CdH2SeO4 relaxed with PBEsol, from Alexandria via LeMat-Bulk.

Geometry as POSCAR:
```
CdH2SeO4
1.0
13.2915 0.0000 0.0000
0.0000 5.9313 0.0000
0.0000 0.0000 4.9610
Cd H Se O
4 8 4 16
direct
0.2247 0.2500 0.0776
0.2753 0.7500 0.5776
0.7247 0.2500 0.4224
0.7753 0.7500 0.9224
0.1155 0.1174 0.5352
0.1155 0.3826 0.5352
0.3845 0.6174 0.0352
0.3845 0.8826 0.0352
0.6155 0.1174 0.9648
0.6155 0.3826 0.9648
0.8845 0.6174 0.4648
0.8845 0.8826 0.4648
0.0916 0.7500 0.9833
0.4084 0.2500 0.4833
0.5916 0.7500 0.5167
0.9084 0.2500 0.0167
0.1071 0.2500 0.4125
0.1368 0.7500 0.2983
0.1578 0.5306 0.8254
0.1578 0.9694 0.8254
0.3422 0.0306 0.3254
0.3422 0.4694 0.3254
0.3632 0.2500 0.7983
0.3929 0.7500 0.9125
0.6071 0.2500 0.0875
0.6368 0.7500 0.2017
0.6578 0.5306 0.6746
0.6578 0.9694 0.6746
0.8422 0.0306 0.1746
0.8422 0.4694 0.1746
0.8632 0.2500 0.7017
0.8929 0.7500 0.5875
```

Computed properties:
E, eV per atom: -11.39

(7)
The following is a SCAN calculation of a crystal of CdTc2HO relaxed with PBEsol, from Alexandria via LeMat-Bulk.

Geometry as POSCAR:
```
CdTc2HO
1.0
5.0733 0.0000 0.0000
0.0000 5.0733 0.0000
0.0000 0.0000 3.1892
Cd Tc H O
1 2 1 1
direct
0.0000 0.0000 0.0000
0.0000 0.5000 0.0000
0.5000 0.0000 0.0000
0.0000 0.0000 0.5000
0.5000 0.5000 0.5000
```

Computed properties:
E, eV per atom: -20.17

(8)
The following is a SCAN calculation of a crystal of CdP2H2 relaxed with PBEsol, from Alexandria via LeMat-Bulk.

Geometry as POSCAR:
```
CdP2H2
1.0
3.0460 -3.0784 0.0000
3.0460 3.0784 0.0000
-2.9610 0.0000 4.6724
Cd P H
1 2 2
direct
0.0000 0.0000 0.0000
0.6248 0.2394 0.2724
0.7606 0.3752 0.7276
0.4279 0.3799 0.7257
0.6201 0.5721 0.2743
```

Computed properties:
E, eV per atom: -11.71

(9)
The following is a SCAN calculation of a crystal of CdH2Pb relaxed with PBEsol, from Alexandria via LeMat-Bulk.

Geometry as POSCAR:
```
CdH2Pb
1.0
0.0000 3.0858 3.0858
3.0858 0.0000 3.0858
3.0858 3.0858 0.0000
Cd H Pb
1 2 1
direct
0.0000 0.0000 0.0000
0.2500 0.2500 0.2500
0.7500 0.7500 0.7500
0.5000 0.5000 0.5000
```

Computed properties:
E, eV per atom: -27.58

(10)
The following is a SCAN calculation of a crystal of CdHPbSe2 relaxed with PBEsol, from Alexandria via LeMat-Bulk.

Geometry as POSCAR:
```
CdHPbSe2
1.0
5.3646 0.0000 0.0000
0.0000 5.3646 0.0000
0.0000 0.0000 3.6557
Cd H Pb Se
1 1 1 2
direct
0.0000 0.0000 0.0000
0.0000 0.0000 0.5000
0.5000 0.5000 0.5000
0.0000 0.5000 0.0000
0.5000 0.0000 0.0000
```

Computed properties:
E, eV per atom: -30.02

(11)
The following is a SCAN calculation of a crystal of CdH2PbSe relaxed with PBEsol, from Alexandria via LeMat-Bulk.

Geometry as POSCAR:
```
CdH2PbSe
1.0
4.0083 0.0000 0.0000
0.0000 4.0083 0.0000
0.0000 0.0000 6.0634
Cd H Pb Se
1 2 1 1
direct
0.0000 0.0000 0.0000
0.0000 0.5000 0.5000
0.5000 0.0000 0.5000
0.5000 0.5000 0.0000
0.5000 0.5000 0.5000
```

Computed properties:
E, eV per atom: -26.24

(12)
The following is a SCAN calculation of a crystal of CdHPt3 relaxed with PBEsol, from Alexandria via LeMat-Bulk.

Geometry as POSCAR:
```
CdHPt3
1.0
2.8647 1.6539 2.3281
-2.8647 1.6539 2.3281
0.0000 -3.3078 2.3281
Cd H Pt
1 1 3
direct
0.0000 0.0000 0.0000
0.4287 0.4287 0.4287
0.5004 0.5004 0.9895
0.5004 0.9895 0.5004
0.9895 0.5004 0.5004
```

Computed properties:
E above lowest polymorph, eV per formula unit: 0.000
E, eV per atom: -49.01

(13)
The following is a SCAN calculation of a crystal of CdHPt3 relaxed with PBEsol, from Alexandria via LeMat-Bulk.

Geometry as POSCAR:
```
CdHPt3
1.0
4.0361 0.0000 0.0000
0.0000 4.0361 0.0000
0.0000 0.0000 4.0361
Cd H Pt
1 1 3
direct
0.0000 0.0000 0.0000
0.5000 0.5000 0.5000
0.0000 0.5000 0.5000
0.5000 0.0000 0.5000
0.5000 0.5000 0.0000
```

Computed properties:
E above lowest polymorph, eV per formula unit: 0.099
E, eV per atom: -48.99

(14)
The following is a SCAN calculation of a crystal of TiCdH2Pt relaxed with PBEsol, from Alexandria via LeMat-Bulk.

Geometry as POSCAR:
```
TiCdH2Pt
1.0
3.5519 0.0000 0.0000
0.0000 3.5519 0.0000
0.0000 0.0000 6.0055
Ti Cd H Pt
1 1 2 1
direct
0.0000 0.0000 0.0000
0.0000 0.0000 0.5000
0.0000 0.5000 0.5000
0.5000 0.0000 0.5000
0.5000 0.5000 0.0000
```

Computed properties:
E, eV per atom: -24.33

(15)
The following is a SCAN calculation of a crystal of RbCd3H relaxed with PBEsol, from Alexandria via LeMat-Bulk.

Geometry as POSCAR:
```
RbCd3H
1.0
4.9654 0.0000 0.0000
0.0000 4.9654 0.0000
0.0000 0.0000 4.9654
Rb Cd H
1 3 1
direct
0.0000 0.0000 0.0000
0.0000 0.5000 0.5000
0.5000 0.0000 0.5000
0.5000 0.5000 0.0000
0.5000 0.5000 0.5000
```

Computed properties:
E, eV per atom: -22.71

(16)
The following is a SCAN calculation of a crystal of Rb3CdH relaxed with PBEsol, from Alexandria via LeMat-Bulk.

Geometry as POSCAR:
```
Rb3CdH
1.0
5.7866 0.0000 0.0000
0.0000 5.7866 0.0000
0.0000 0.0000 5.7866
Rb Cd H
3 1 1
direct
0.0000 0.0000 0.5000
0.0000 0.5000 0.0000
0.5000 0.0000 0.0000
0.5000 0.5000 0.5000
0.0000 0.0000 0.0000
```

Computed properties:
E, eV per atom: -19.27

(17)
The following is a SCAN calculation of a crystal of CdH3Rh relaxed with PBEsol, from Alexandria via LeMat-Bulk.

Geometry as POSCAR:
```
CdH3Rh
1.0
0.0000 4.0223 4.6192
2.7673 0.0000 4.6192
2.7673 4.0223 0.0000
Cd H Rh
2 6 2
direct
0.2500 0.2500 0.2500
0.7500 0.7500 0.7500
0.1077 0.1077 0.8923
0.1812 0.8188 0.5410
0.4590 0.5410 0.8188
0.5410 0.4590 0.1812
0.8188 0.1812 0.4590
0.8923 0.8923 0.1077
0.1822 0.8178 0.1822
0.8178 0.1822 0.8178
```

Computed properties:
E, eV per atom: -14.98

(18)
The following is a SCAN calculation of a crystal of CdH2Ru2 relaxed with PBEsol, from Alexandria via LeMat-Bulk.

Geometry as POSCAR:
```
CdH2Ru2
1.0
-1.7404 1.7404 4.1909
1.7404 -1.7404 4.1909
1.7404 1.7404 -4.1909
Cd H Ru
1 2 2
direct
0.0000 0.0000 0.0000
0.2500 0.7500 0.5000
0.7500 0.2500 0.5000
0.3328 0.3328 0.0000
0.6672 0.6672 0.0000
```

Computed properties:
E, eV per atom: -21.10

(19)
The following is a SCAN calculation of a crystal of CdHS3 relaxed with PBEsol, from Alexandria via LeMat-Bulk.

Geometry as POSCAR:
```
CdHS3
1.0
5.0485 0.0000 0.0000
0.0000 5.0485 0.0000
0.0000 0.0000 5.0485
Cd H S
1 1 3
direct
0.0000 0.0000 0.0000
0.5000 0.5000 0.5000
0.0000 0.0000 0.5000
0.0000 0.5000 0.0000
0.5000 0.0000 0.0000
```

Computed properties:
E, eV per atom: -11.35

(20)
The following is a SCAN calculation of a crystal of Cd3HS relaxed with PBEsol, from Alexandria via LeMat-Bulk.

Geometry as POSCAR:
```
Cd3HS
1.0
4.4402 0.0000 0.0000
0.0000 4.4402 0.0000
0.0000 0.0000 4.4402
Cd H S
3 1 1
direct
0.0000 0.0000 0.5000
0.0000 0.5000 0.0000
0.5000 0.0000 0.0000
0.0000 0.0000 0.0000
0.5000 0.5000 0.5000
```

Computed properties:
E, eV per atom: -20.55